# CsSn3Br7 (GGA-PBE, optimized geometry)
data_CsSn3Br7
_space_group_name_H-M_alt 'C 1 2/m 1'
_space_group_IT_number 12
_cell_length_a 9.900
_cell_length_b 10.934
_cell_length_c 7.555
_cell_angle_alpha 90.00
_cell_angle_beta 106.05
_cell_angle_gamma 90.00
loop_
_space_group_symop_operation_xyz
'x,y,z'
'-x,-y,-z'
'-x,y,-z'
'x,-y,z'
'x+1/2,y+1/2,z'
'-x+1/2,-y+1/2,-z'
'-x+1/2,y+1/2,-z'
'x+1/2,-y+1/2,z'
loop_
_atom_site_label
_atom_site_type_symbol
_atom_site_fract_x
_atom_site_fract_y
_atom_site_fract_z
_atom_site_occupancy
Cs1 Cs 0.000 0.000 0.000 1
Sn1 Sn 0.000 0.275 0.500 1
Sn2 Sn 0.000 0.500 0.000 1
Br1 Br 0.000 0.000 0.500 1
Br2 Br 0.148 0.500 0.705 1
Br3 Br 0.174 0.299 0.229 1
# - total energy (eV per formula unit) = -34.8


# CsSnBr3 (GGA-PBE, optimized geometry)
data_CsSnBr3
_space_group_name_H-M_alt 'I -4 m 2'
_space_group_IT_number 119
_space_group_name_Hall 'I -4 -2'
_cell_length_a 6.883
_cell_length_b 6.883
_cell_length_c 19.104
_cell_angle_alpha 90.00
_cell_angle_beta 90.00
_cell_angle_gamma 90.00
loop_
_atom_site_label
_atom_site_type_symbol
_atom_site_fract_x
_atom_site_fract_y
_atom_site_fract_z
_atom_site_occupancy
Cs1 Cs 0.000 0.000 0.110 1
Sn1 Sn 0.000 0.000 0.500 1
Sn2 Sn 0.000 0.500 0.250 1
Br1 Br 0.000 0.238 0.360 1
Br2 Br 0.000 0.500 0.538 1
# - total energy (eV per formula unit) = -14.7


# CsSn2Br5 (GGA-PBE, optimized geometry)
data_CsSn2Br5
_space_group_name_H-M_alt 'I m m m'
_space_group_IT_number 71
_space_group_name_Hall '-I 2 2'
_cell_length_a 4.504
_cell_length_b 7.797
_cell_length_c 16.367
_cell_angle_alpha 90.00
_cell_angle_beta 90.00
_cell_angle_gamma 90.00
loop_
_atom_site_label
_atom_site_type_symbol
_atom_site_fract_x
_atom_site_fract_y
_atom_site_fract_z
_atom_site_occupancy
Cs1 Cs 0.000 0.000 0.000 1
Sn1 Sn 0.000 0.500 0.176 1
Br1 Br 0.000 0.260 0.346 1
Br2 Br 0.000 0.500 0.000 1
# - energy above the lowest structure with this stoichiometry (kJ per mole of atoms) = 2.77
# - total energy (eV per formula unit) = -25.4


# Cs2Sn2Br5 (GGA-PBE, optimized geometry)
data_Cs2Sn2Br5
_space_group_name_H-M_alt 'A m m 2'
_space_group_IT_number 38
_cell_length_a 9.462
_cell_length_b 8.495
_cell_length_c 8.494
_cell_angle_alpha 90.00
_cell_angle_beta 90.00
_cell_angle_gamma 90.00
loop_
_space_group_symop_operation_xyz
'x,y,z'
'-x,-y,z'
'-x,y,z'
'x,-y,z'
'x,y+1/2,z+1/2'
'-x,-y+1/2,z+1/2'
'-x,y+1/2,z+1/2'
'x,-y+1/2,z+1/2'
loop_
_atom_site_label
_atom_site_type_symbol
_atom_site_fract_x
_atom_site_fract_y
_atom_site_fract_z
_atom_site_occupancy
Cs1 Cs 0.000 0.000 0.000 1
Cs2 Cs 0.500 0.000 0.001 1
Sn1 Sn 0.190 0.000 0.499 1
Br1 Br 0.223 0.250 0.250 1
Br2 Br 0.500 0.000 0.500 1
# - energy above the lowest structure with this stoichiometry (kJ per mole of atoms) = 0.00
# - total energy (eV per formula unit) = -28.2


# CsSnBr4 (GGA-PBE, optimized geometry)
data_CsSnBr4
_space_group_name_H-M_alt 'C m c m'
_space_group_IT_number 63
_space_group_name_Hall '-C 2c 2'
_cell_length_a 5.690
_cell_length_b 21.298
_cell_length_c 8.013
_cell_angle_alpha 90.00
_cell_angle_beta 90.00
_cell_angle_gamma 90.00
loop_
_atom_site_label
_atom_site_type_symbol
_atom_site_fract_x
_atom_site_fract_y
_atom_site_fract_z
_atom_site_occupancy
Cs1 Cs 0.000 0.110 0.250 1
Sn1 Sn 0.000 0.402 0.250 1
Br1 Br 0.000 0.082 0.750 1
Br2 Br 0.000 0.318 0.009 1
Br3 Br 0.000 0.500 0.000 1
# - total energy (eV per formula unit) = -18.0


# CsSnBr3 (GGA-PBE, optimized geometry)
data_CsSnBr3
_space_group_name_H-M_alt 'C 1 2/c 1'
_space_group_IT_number 15
_cell_length_a 15.631
_cell_length_b 14.959
_cell_length_c 7.854
_cell_angle_alpha 90.00
_cell_angle_beta 96.75
_cell_angle_gamma 90.00
loop_
_space_group_symop_operation_xyz
'x,y,z'
'-x,-y,-z'
'-x,y,-z+1/2'
'x,-y,z+1/2'
'x+1/2,y+1/2,z'
'-x+1/2,-y+1/2,-z'
'-x+1/2,y+1/2,-z+1/2'
'x+1/2,-y+1/2,z+1/2'
loop_
_atom_site_label
_atom_site_type_symbol
_atom_site_fract_x
_atom_site_fract_y
_atom_site_fract_z
_atom_site_occupancy
Cs1 Cs 0.215 0.098 0.313 1
Sn1 Sn 0.000 0.252 0.750 1
Sn2 Sn 0.000 0.427 0.250 1
Br1 Br 0.100 0.287 0.442 1
Br2 Br 0.115 0.434 0.966 1
Br3 Br 0.122 0.126 0.867 1
# - total energy (eV per formula unit) = -15.8


# Cs2Sn2Br5 (GGA-PBE, optimized geometry)
data_Cs2Sn2Br5
_space_group_name_H-M_alt 'C 1 2/m 1'
_space_group_IT_number 12
_cell_length_a 17.215
_cell_length_b 6.257
_cell_length_c 7.708
_cell_angle_alpha 90.00
_cell_angle_beta 111.91
_cell_angle_gamma 90.00
loop_
_space_group_symop_operation_xyz
'x,y,z'
'-x,-y,-z'
'-x,y,-z'
'x,-y,z'
'x+1/2,y+1/2,z'
'-x+1/2,-y+1/2,-z'
'-x+1/2,y+1/2,-z'
'x+1/2,-y+1/2,z'
loop_
_atom_site_label
_atom_site_type_symbol
_atom_site_fract_x
_atom_site_fract_y
_atom_site_fract_z
_atom_site_occupancy
Cs1 Cs 0.098 0.000 0.322 1
Sn1 Sn 0.166 0.500 0.924 1
Br1 Br 0.000 0.500 0.000 1
Br2 Br 0.135 0.000 0.872 1
Br3 Br 0.172 0.500 0.573 1
# - energy above the lowest structure with this stoichiometry (kJ per mole of atoms) = 6.98
# - total energy (eV per formula unit) = -27.5


# CsSnBr3 (GGA-PBE, optimized geometry)
data_CsSnBr3
_space_group_name_H-M_alt 'C 1 2/m 1'
_space_group_IT_number 12
_cell_length_a 18.687
_cell_length_b 5.992
_cell_length_c 7.917
_cell_angle_alpha 90.00
_cell_angle_beta 95.42
_cell_angle_gamma 90.00
loop_
_space_group_symop_operation_xyz
'x,y,z'
'-x,-y,-z'
'-x,y,-z'
'x,-y,z'
'x+1/2,y+1/2,z'
'-x+1/2,-y+1/2,-z'
'-x+1/2,y+1/2,-z'
'x+1/2,-y+1/2,z'
loop_
_atom_site_label
_atom_site_type_symbol
_atom_site_fract_x
_atom_site_fract_y
_atom_site_fract_z
_atom_site_occupancy
Cs1 Cs 0.118 0.000 0.405 1
Sn1 Sn 0.122 0.500 0.920 1
Br1 Br 0.011 0.500 0.253 1
Br2 Br 0.128 0.000 0.928 1
Br3 Br 0.189 0.500 0.625 1
# - total energy (eV per formula unit) = -15.8


# CsSn3Br8 (GGA-PBE, optimized geometry)
data_CsSn3Br8
_space_group_name_H-M_alt 'C 1 m 1'
_space_group_IT_number 8
_cell_length_a 18.363
_cell_length_b 5.677
_cell_length_c 11.796
_cell_angle_alpha 90.00
_cell_angle_beta 112.62
_cell_angle_gamma 90.00
loop_
_space_group_symop_operation_xyz
'x,y,z'
'x,-y,z'
'x+1/2,y+1/2,z'
'x+1/2,-y+1/2,z'
loop_
_atom_site_label
_atom_site_type_symbol
_atom_site_fract_x
_atom_site_fract_y
_atom_site_fract_z
_atom_site_occupancy
Cs1 Cs 0.000 0.000 0.000 1
Sn1 Sn 0.040 0.000 0.512 1
Sn2 Sn 0.259 0.000 0.982 1
Sn3 Sn 0.353 0.000 0.562 1
Br1 Br 0.030 0.500 0.549 1
Br2 Br 0.113 0.000 0.811 1
Br3 Br 0.188 0.000 0.498 1
Br4 Br 0.216 0.000 0.170 1
Br5 Br 0.286 0.500 0.969 1
Br6 Br 0.386 0.500 0.562 1
Br7 Br 0.395 0.000 0.807 1
Br8 Br 0.456 0.500 0.275 1
# - total energy (eV per formula unit) = -36.7


# Cs2Sn2Br7 (GGA-PBE, optimized geometry)
data_Cs2Sn2Br7
_space_group_name_H-M_alt 'C m m m'
_space_group_IT_number 65
_space_group_name_Hall '-C 2 2'
_cell_length_a 9.562
_cell_length_b 11.008
_cell_length_c 8.322
_cell_angle_alpha 90.00
_cell_angle_beta 90.00
_cell_angle_gamma 90.00
loop_
_atom_site_label
_atom_site_type_symbol
_atom_site_fract_x
_atom_site_fract_y
_atom_site_fract_z
_atom_site_occupancy
Cs1 Cs 0.225 0.000 0.000 1
Sn1 Sn 0.000 0.277 0.500 1
Br1 Br 0.000 0.000 0.500 1
Br2 Br 0.000 0.500 0.291 1
Br3 Br 0.250 0.250 0.277 1
# - energy above the lowest structure with this stoichiometry (kJ per mole of atoms) = 9.79
# - total energy (eV per formula unit) = -32.5


# CsSnBr3 (GGA-PBE, optimized geometry)
data_CsSnBr3
_space_group_name_H-M_alt 'P 63/m m c'
_space_group_IT_number 194
_space_group_name_Hall '-P 6c 2c'
_cell_length_a 5.3004
_cell_length_b 5.3004
_cell_length_c 19.2602
_cell_angle_alpha 90.00
_cell_angle_beta 90.00
_cell_angle_gamma 120.00
loop_
_atom_site_label
_atom_site_type_symbol
_atom_site_fract_x
_atom_site_fract_y
_atom_site_fract_z
_atom_site_occupancy
Cs1 Cs 0.0000 0.0000 0.0000 1
Sn1 Sn 0.3333 0.6667 0.2500 1
Br1 Br 0.0000 0.0000 0.2500 1
Br2 Br 0.3333 0.6667 0.1009 1
# - total energy (eV per formula unit) = -15.5


# CsSnBr3 (GGA-PBE, optimized geometry)
data_CsSnBr3
_space_group_name_H-M_alt 'P n m a'
_space_group_IT_number 62
_cell_length_a 9.542
_cell_length_b 11.228
_cell_length_c 8.823
_cell_angle_alpha 90.00
_cell_angle_beta 90.00
_cell_angle_gamma 90.00
loop_
_space_group_symop_operation_xyz
'x,y,z'
'-x,-y,-z'
'-x+1/2,-y,z+1/2'
'x+1/2,y,-z+1/2'
'x+1/2,-y+1/2,-z+1/2'
'-x+1/2,y+1/2,z+1/2'
'-x,y+1/2,-z'
'x,-y+1/2,z'
loop_
_atom_site_label
_atom_site_type_symbol
_atom_site_fract_x
_atom_site_fract_y
_atom_site_fract_z
_atom_site_occupancy
Cs1 Cs 0.000 0.000 0.000 1
Sn1 Sn 0.003 0.250 0.497 1
Br1 Br 0.147 0.750 0.763 1
Br2 Br 0.151 0.578 0.365 1
# - total energy (eV per formula unit) = -15.8